Record 1
VASP calculation (PBEsol) on crystalline CaNi2O4 at its relaxed geometry.

Cell lengths 5.631, 5.631, 9.664 Å; angles 90.00, 90.00, 90.00 degrees
Space group I4_1/amd (No. 141, origin choice 2)
Unique sites:
Ca: 0.000 0.250 0.375 x4
Ni: 0.000 0.000 0.000 x8
O: 0.000 0.031 0.780 x16

**Energy relative to the elements, uncorrected**: -1.3619 eV/atom
**Relative energy among the computed polymorphs**: 2.263 kcal/mol of atoms
**E**: -179.915 eV/cell
**V**: 10.943 Å³ per atom

---

Record 2
VASP calculation (PBEsol) on crystalline NaCu2Cl at its relaxed geometry.

Cell lengths 6.452, 6.452, 6.452 Å; angles 90.00, 90.00, 90.00 degrees
Space group Fm-3m (No. 225)
Unique sites:
Na: 0.000 0.000 0.000 x4
Cu: 0.250 0.250 0.250 x8
Cl: 0.000 0.000 0.500 x4

**Energy relative to the elements, uncorrected**: 0.4636 eV/atom
**E**: -40.886 eV/cell
**V**: 16.785 Å³ per atom

---

Record 3
VASP calculation (PBEsol) on crystalline Li2CdCl4 at its relaxed geometry.

Cell lengths 7.395, 7.631, 10.437 Å; angles 90.00, 90.00, 90.00 degrees
Space group Imma (No. 74)
Unique sites:
Li: 0.000 0.250 0.142 x4
Li: 0.250 0.250 0.750 x4
Cd: 0.000 0.000 0.500 x4
Cl: 0.000 0.019 0.746 x8
Cl: 0.247 0.250 0.504 x8

**Energy relative to the elements, uncorrected**: -1.4976 eV/atom
**E**: -94.582 eV/cell
**V**: 21.034 Å³ per atom

---

Record 4
VASP calculation (PBEsol) on crystalline Be2AsAu at its relaxed geometry.

Cell lengths 3.596, 3.813, 4.840 Å; angles 90.00, 111.84, 90.00 degrees
Space group Pm (No. 6)
Unique sites:
Be: 0.000 0.000 0.000 x1
Be: 0.484 0.500 0.971 x1
As: 0.353 0.000 0.707 x1
Au: 0.153 0.500 0.309 x1

**E**: -17.148 eV/cell
**Energy relative to the elements**: -29 meV per atom
**V**: 15.403 Å³ per atom

---

Record 5
VASP calculation (PBEsol) on crystalline LiMg2Zn at its relaxed geometry.

Cell lengths 3.381, 4.574, 9.258 Å; angles 90.00, 90.00, 90.00 degrees
Space group Imm2 (No. 44)
Unique sites:
Li: 0.000 0.000 0.000 x2
Mg: 0.000 0.000 0.537 x2
Mg: 0.000 0.500 0.764 x2
Zn: 0.000 0.500 0.282 x2

**E**: -14.627 eV/cell
**Energy relative to the elements**: -83 meV per atom
**V**: 17.896 Å³ per atom

---

Record 6
VASP calculation (PBEsol) on crystalline CsCoI2N at its relaxed geometry.

Cell lengths 6.035, 6.035, 3.503 Å; angles 90.00, 90.00, 90.00 degrees
Space group P4/mmm (No. 123)
Unique sites:
Cs: 0.000 0.000 0.000 x1
Co: 0.500 0.500 0.500 x1
I: 0.000 0.500 0.500 x2
N: 0.500 0.500 0.000 x1

**Energy relative to the elements, uncorrected**: -0.0508 eV/atom
**E**: -20.994 eV/cell
**V**: 25.523 Å³ per atom